(1)
PaCrB2O8 | PBE+U | optimized geometry

```
PaCrB2O8
1.0
4.818 0.000 0.000
-2.409 4.172 0.000
0.000 0.000 6.373
Pa Cr B O
1 1 2 8
direct
0.000 0.000 0.000
0.000 0.000 0.500
0.333 0.667 0.220
0.667 0.333 0.780
0.168 0.337 0.292
0.168 0.832 0.292
0.333 0.667 0.991
0.337 0.168 0.708
0.663 0.832 0.292
0.667 0.333 0.009
0.832 0.168 0.708
0.832 0.663 0.708
```

As for the total DFT energy (no corrections): -8.0139 eV per atom. As for the density of states at the Fermi level: 0.453 states/eV/atom.

***

(2)
PaCrBO5 | PBE+U | optimized geometry

```
PaCrBO5
1.0
3.102 -4.286 0.000
3.102 4.286 0.000
-2.865 0.000 7.428
Pa Cr B O
2 2 2 10
direct
0.000 0.000 0.000
0.000 0.000 0.500
0.338 0.662 0.750
0.662 0.338 0.250
0.313 0.687 0.250
0.687 0.313 0.750
0.064 0.658 0.324
0.106 0.894 0.750
0.270 0.436 0.106
0.342 0.936 0.176
0.436 0.270 0.606
0.564 0.730 0.394
0.658 0.064 0.824
0.730 0.564 0.894
0.894 0.106 0.250
0.936 0.342 0.676
```

As for the total DFT energy (no corrections): -8.6712 eV per atom. As for the density of states at the Fermi level: 0.000 states/eV/atom.

***

(3)
CrB2Pb6O12 | PBE+U | optimized geometry

```
CrB2Pb6O12
1.0
6.598 0.000 0.000
0.000 11.857 0.000
0.000 0.000 18.740
Cr B Pb O
4 8 24 48
direct
0.210 0.250 0.011
0.290 0.750 0.511
0.710 0.250 0.489
0.790 0.750 0.989
0.070 0.004 0.746
0.070 0.496 0.746
0.430 0.504 0.246
0.430 0.996 0.246
0.570 0.004 0.754
0.570 0.496 0.754
0.930 0.504 0.254
0.930 0.996 0.254
0.107 0.750 0.301
0.152 0.591 0.109
0.152 0.909 0.109
0.176 0.095 0.392
0.176 0.405 0.392
0.232 0.250 0.212
0.268 0.750 0.712
0.324 0.595 0.892
0.324 0.905 0.892
0.348 0.091 0.609
0.348 0.409 0.609
0.393 0.250 0.801
0.607 0.750 0.199
0.652 0.591 0.391
0.652 0.909 0.391
0.676 0.095 0.108
0.676 0.405 0.108
0.732 0.250 0.288
0.768 0.750 0.788
0.824 0.595 0.608
0.824 0.905 0.608
0.848 0.091 0.891
0.848 0.409 0.891
0.893 0.250 0.699
0.000 0.250 0.061
0.000 0.750 0.939
0.014 0.102 0.783
0.014 0.398 0.783
0.068 0.008 0.671
0.068 0.492 0.671
0.079 0.250 0.336
0.127 0.592 0.782
0.127 0.908 0.782
0.140 0.250 0.924
0.153 0.635 0.529
0.153 0.865 0.529
0.200 0.250 0.641
0.300 0.750 0.141
0.347 0.135 0.029
0.347 0.365 0.029
0.360 0.750 0.424
0.373 0.092 0.282
0.373 0.408 0.282
0.421 0.750 0.836
0.432 0.508 0.171
0.432 0.992 0.171
0.486 0.602 0.283
0.486 0.898 0.283
0.500 0.250 0.439
0.500 0.750 0.561
0.514 0.102 0.717
0.514 0.398 0.717
0.568 0.008 0.829
0.568 0.492 0.829
0.579 0.250 0.164
0.627 0.592 0.718
0.627 0.908 0.718
0.640 0.250 0.576
0.653 0.635 0.971
0.653 0.865 0.971
0.700 0.250 0.859
0.800 0.750 0.359
0.847 0.135 0.471
0.847 0.365 0.471
0.860 0.750 0.076
0.873 0.092 0.218
0.873 0.408 0.218
0.921 0.750 0.664
0.932 0.508 0.329
0.932 0.992 0.329
0.986 0.602 0.217
0.986 0.898 0.217
```

As for the total DFT energy (no corrections): -6.4185 eV per atom. As for the density of states at the Fermi level: 0.000 states/eV/atom.

***

(4)
PmCrBO5 | PBE+U | optimized geometry

```
PmCrBO5
1.0
3.159 -4.297 0.000
3.159 4.297 0.000
-2.564 0.000 6.250
Pm Cr B O
2 2 2 10
direct
0.157 0.843 0.750
0.843 0.157 0.250
0.500 0.500 0.000
0.500 0.500 0.500
0.187 0.813 0.250
0.813 0.187 0.750
0.099 0.251 0.909
0.181 0.619 0.377
0.251 0.099 0.409
0.381 0.819 0.123
0.426 0.574 0.750
0.574 0.426 0.250
0.619 0.181 0.877
0.749 0.901 0.591
0.819 0.381 0.623
0.901 0.749 0.091
```

As for the total DFT energy (no corrections): -7.8884 eV per atom. As for the density of states at the Fermi level: 0.170 states/eV/atom.

***

(5)
PmCrBO4 | PBE+U | optimized geometry

```
PmCrBO4
1.0
-2.899 3.914 4.844
2.899 -3.914 4.844
2.899 3.914 -4.844
Pm Cr B O
2 2 2 8
direct
0.000 0.000 0.000
0.500 0.000 0.500
0.500 0.000 0.000
0.500 0.500 0.500
0.189 0.439 0.750
0.811 0.561 0.250
0.198 0.228 0.530
0.198 0.667 0.970
0.294 0.220 0.075
0.355 0.780 0.575
0.645 0.220 0.425
0.706 0.780 0.925
0.802 0.333 0.030
0.802 0.772 0.470
```

As for the total DFT energy (no corrections): -7.7221 eV per atom.

***

(6)
PrCr2BO8 | PBE+U | optimized geometry

```
PrCr2BO8
1.0
4.402 -3.061 0.000
4.402 3.061 0.000
-2.235 0.000 7.956
Pr Cr B O
1 2 1 8
direct
0.000 0.000 0.000
0.323 0.323 0.767
0.677 0.677 0.233
0.000 0.000 0.500
0.145 0.145 0.577
0.187 0.656 0.775
0.245 0.245 0.935
0.344 0.813 0.225
0.656 0.187 0.775
0.755 0.755 0.065
0.813 0.344 0.225
0.855 0.855 0.423
```

As for the total DFT energy (no corrections): -7.2999 eV per atom.

***

(7)
CrB2PtO8 | PBE+U | optimized geometry

```
CrB2PtO8
1.0
5.030 0.000 0.000
-2.515 4.356 0.000
0.000 0.000 5.620
Cr B Pt O
1 2 1 8
direct
0.000 0.000 0.000
0.333 0.667 0.189
0.667 0.333 0.811
0.000 0.000 0.500
0.167 0.334 0.249
0.167 0.833 0.249
0.333 0.667 0.935
0.334 0.167 0.751
0.666 0.833 0.249
0.667 0.333 0.065
0.833 0.167 0.751
0.833 0.666 0.751
```

As for the total DFT energy (no corrections): -6.5304 eV per atom. As for the density of states at the Fermi level: 0.514 states/eV/atom.

***

(8)
PuCrB2O8 | PBE+U | optimized geometry

```
PuCrB2O8
1.0
5.112 0.000 0.000
-2.556 4.427 0.000
0.000 0.000 5.893
Pu Cr B O
1 1 2 8
direct
0.000 0.000 0.000
0.000 0.000 0.500
0.333 0.667 0.665
0.667 0.333 0.335
0.172 0.345 0.748
0.172 0.828 0.748
0.333 0.667 0.428
0.345 0.172 0.252
0.655 0.828 0.748
0.667 0.333 0.572
0.828 0.172 0.252
0.828 0.655 0.252
```

As for the total DFT energy (no corrections): -8.0405 eV per atom. As for the density of states at the Fermi level: 0.601 states/eV/atom.